Here is a geometry-optimized YVPd2 structure from the Alexandria database. Energies are from PBE.

Results
D(E_F) = 4.22 states/eV/f.u.
energy of formation = 0.473 eV per formula unit
symmetry = I-42d
electronic total energy = -0.2342 Ha/atom
distance to the lowest polymorph of the same formula = 470.6 meV/atom
spin magnetization = 2.5 μB/f.u.

Cell: 4.258 4.258 17.965 Å, 90.00 90.00 90.00°
Atoms (fractional coordinates):
Y  0.000  0.000  0.000
Y  0.000  0.500  0.250
Y  0.500  0.000  0.750
Y  0.500  0.500  0.500
V  0.000  0.000  0.500
V  0.000  0.500  0.750
V  0.500  0.000  0.250
V  0.500  0.500  0.000
Pd  0.208  0.250  0.625
Pd  0.250  0.708  0.875
Pd  0.250  0.792  0.375
Pd  0.292  0.250  0.125
Pd  0.708  0.750  0.125
Pd  0.750  0.208  0.375
Pd  0.750  0.292  0.875
Pd  0.792  0.750  0.625

Here is a geometry-optimized CsAg2As2 structure from the Alexandria database. Energies are from PBE.

Results
D(E_F) = 1.97 states/eV/f.u.
energy of formation = -0.139 eV per formula unit
symmetry = I4/mmm
electronic total energy = -0.1176 Ha/atom
distance to the lowest polymorph of the same formula = 72.5 meV/atom
spin magnetization = 0.0 μB/f.u.

Cell: 5.026 5.026 12.290 Å, 90.00 90.00 90.00°
Atoms (fractional coordinates):
Cs  0.000  0.000  0.000
Cs  0.500  0.500  0.500
Ag  0.000  0.000  0.317
Ag  0.000  0.000  0.683
Ag  0.500  0.500  0.183
Ag  0.500  0.500  0.817
As  0.000  0.500  0.250
As  0.000  0.500  0.750
As  0.500  0.000  0.250
As  0.500  0.000  0.750